Record 1
Computed, not measured: crystalline RbCrHg2Cl at its relaxed geometry at the PBE-GGA level of DFT.

Calculated values
* uncorrected formation energy: -0.1096 eV per atom
* size of the total moment: 5.2 μB/f.u.
* symmetry: P4/mmm (123)

Cell: 5.365 7.388 5.365 Å, 90.00 90.00 90.00°
Fractional positions:
Rb1 0.000 0.500 0.000
Cl1 0.500 0.500 0.500
Hg1 0.500 0.000 0.000
Hg2 0.000 0.000 0.500
Cr1 0.000 0.000 0.000

=====

Record 2
Computed, not measured: crystalline BaRu2Pt at its relaxed geometry at the PBE-GGA level of DFT.

Calculated values
* relative energy among the computed polymorphs: 360.2 meV per atom
* calculated formation energy: 468 meV per atom
* size of the total moment: 0.8 μB/f.u.
* symmetry: I4_1/amd (141)

Cell: 4.750 4.750 9.871 Å, 76.08 76.08 90.00°
Fractional positions:
Ba1 0.500 0.500 0.000
Ba2 0.250 0.750 0.500
Pt1 0.000 0.000 0.000
Pt2 0.750 0.250 0.500
Ru1 0.875 0.125 0.250
Ru2 0.875 0.625 0.250
Ru3 0.375 0.125 0.750
Ru4 0.875 0.125 0.750

=====

Record 3
Computed, not measured: crystalline Y3Ge3Ir2 at its relaxed geometry at the PBE-GGA level of DFT.

Calculated values
* relative energy among the computed polymorphs: 0.0 meV per atom
* calculated formation energy: -935 meV per atom
* size of the total moment: 0.0 μB/f.u.
* symmetry: Cmcm (63)

Cell: 4.331 5.693 14.331 Å, 90.00 90.00 112.36°
Fractional positions:
Y1 0.916 0.832 0.110
Y2 0.642 0.283 0.250
Y3 0.916 0.832 0.390
Y4 0.084 0.168 0.890
Y5 0.358 0.717 0.750
Y6 0.084 0.168 0.610
Ge1 0.657 0.314 0.750
Ge2 0.343 0.686 0.250
Ge3 0.375 0.750 0.536
Ge4 0.625 0.250 0.036
Ge5 0.375 0.750 0.964
Ge6 0.625 0.250 0.464
Ir1 0.800 0.599 0.898
Ir2 0.200 0.401 0.398
Ir3 0.200 0.401 0.102
Ir4 0.800 0.599 0.602

=====

Record 4
Computed, not measured: crystalline GdAl2Zn at its relaxed geometry at the PBE-GGA level of DFT.

Calculated values
* calculated formation energy: -341 meV per atom
* size of the total moment: 7.1 μB/f.u.
* symmetry: P4/mmm (123)

Cell: 4.295 4.278 4.278 Å, 90.00 90.00 90.00°
Fractional positions:
Al1 0.000 0.000 0.500
Al2 0.000 0.500 0.000
Zn1 0.500 0.500 0.500
Gd1 0.500 0.000 0.000

=====

Record 5
Computed, not measured: crystalline Pr2TaMnN5 at its relaxed geometry at the PBE-GGA level of DFT.

Calculated values
* uncorrected formation energy: -0.9897 eV per atom
* size of the total moment: 1.1 μB/f.u.
* symmetry: Cmc2_1 (36)

Cell: 3.297 7.347 10.235 Å, 90.00 90.00 102.97°
Fractional positions:
Pr1 0.129 0.259 0.323
Pr2 0.871 0.741 0.823
Pr3 0.120 0.239 0.691
Pr4 0.880 0.761 0.191
N1 0.499 0.998 0.286
N2 0.300 0.600 0.655
N3 0.678 0.356 0.882
N4 0.661 0.323 0.506
N5 0.339 0.677 0.006
N6 0.037 0.074 0.014
N7 0.501 0.002 0.786
N8 0.963 0.926 0.514
N9 0.322 0.644 0.382
N10 0.700 0.400 0.155
Ta1 0.205 0.410 0.022
Ta2 0.795 0.590 0.522
Mn1 0.550 0.099 0.943
Mn2 0.450 0.901 0.443

=====

Record 6
Computed, not measured: crystalline Ni2Rh2I at its relaxed geometry at the PBE-GGA level of DFT.

Calculated values
* relative energy among the computed polymorphs: 29.2 meV per atom
* uncorrected formation energy: 0.4995 eV per atom
* size of the total moment: 1.8 μB/f.u.
* symmetry: P4/mbm (127)

Cell: 6.898 6.898 3.336 Å, 90.00 90.00 90.00°
Fractional positions:
Ni1 0.362 0.138 0.500
Ni2 0.138 0.638 0.500
Ni3 0.638 0.862 0.500
Ni4 0.862 0.362 0.500
Rh1 0.145 0.355 0.000
Rh2 0.645 0.145 0.000
Rh3 0.355 0.855 0.000
Rh4 0.855 0.645 0.000
I1 0.000 0.000 0.000
I2 0.500 0.500 0.000

=====

Record 7
Computed, not measured: crystalline Nd3Cd2Pt at its relaxed geometry at the PBE-GGA level of DFT.

Calculated values
* calculated formation energy: -486 meV per atom
* size of the total moment: 0.0 μB/f.u.
* symmetry: Cmmm (65)

Cell: 5.540 7.703 8.682 Å, 90.00 108.61 90.00°
Fractional positions:
Cd1 0.303 0.750 0.606
Cd2 0.303 0.250 0.606
Cd3 0.697 0.250 0.394
Cd4 0.697 0.750 0.394
Nd1 0.138 0.000 0.276
Nd2 0.500 0.250 0.000
Nd3 0.862 0.000 0.724
Nd4 0.138 0.500 0.276
Nd5 0.862 0.500 0.724
Nd6 0.500 0.750 0.000
Pt1 0.000 0.250 0.000
Pt2 0.000 0.750 0.000

=====

Record 8
Computed, not measured: crystalline TbInPb2 at its relaxed geometry at the PBE-GGA level of DFT.

Calculated values
* calculated formation energy: -209 meV per atom
* size of the total moment: 0.0 μB/f.u.
* symmetry: P4/mmm (123)

Cell: 4.151 4.151 6.688 Å, 90.00 90.00 90.00°
Fractional positions:
Pb1 0.000 0.000 0.250
Pb2 0.000 0.000 0.750
In1 0.500 0.500 0.000
Tb1 0.500 0.500 0.500

=====

Record 9
Computed, not measured: crystalline InCuSe2 at its relaxed geometry at the PBE-GGA level of DFT.

Calculated values
* uncorrected formation energy: -0.2942 eV per atom
* size of the total moment: 0.0 μB/f.u.
* symmetry: Cm (8)

Cell: 4.152 4.152 7.171 Å, 87.77 87.77 56.73°
Fractional positions:
Cu1 0.422 0.422 0.601
Se1 0.013 0.013 0.073
Se2 0.742 0.742 0.572
In1 0.323 0.323 0.253

=====

Record 10
Computed, not measured: crystalline KGaIO2 at its relaxed geometry at the PBE-GGA level of DFT.

Calculated values
* relative energy among the computed polymorphs: 908.9 meV per atom
* uncorrected formation energy: 0.3019 eV per atom
* size of the total moment: 2.9 μB/f.u.
* symmetry: P4/mmm (123)

Cell: 4.936 4.936 7.264 Å, 90.00 90.00 90.00°
Fractional positions:
K1 0.000 0.000 0.000
Ga1 0.500 0.500 0.500
O1 0.500 0.000 0.000
O2 0.000 0.500 0.000
I1 0.000 0.000 0.500

=====

Which formula does entry 3 have? Y3Ge3Ir2

=====

The highest size of the total moment belongs to which entry? GdAl2Zn